(1)
A relaxed ThMn2Ni9 crystal, computed with PBE-GGA.

Density, g/cm3: 9.10
Energy, eV for the cell shown: -240.33

Lattice parameters (Å, degrees): 4.8414 4.8414 23.4588 90.00 90.00 120.00
Space group R-3m (No. 166, hexagonal axes)
One atom of each set of equivalent atoms:
1 Th 0.0000 0.0000 0.0000 x3
2 Mn 0.0000 0.0000 0.1465 x6
3 Ni 0.0000 0.0000 0.3343 x6
4 Ni 0.0000 0.0000 0.5000 x3
5 Ni 0.0052 0.5026 0.9127 x18

(2)
A relaxed ThMnNi2 crystal, computed with PBE-GGA.

Density, g/cm3: 9.78
Energy, eV for the cell shown: -113.78

Lattice parameters (Å, degrees): 5.032 4.707 11.591 90.00 90.00 90.00
Space group Pmma (No. 51)
One atom of each set of equivalent atoms:
1 Th 0.250 0.000 0.112 x2
2 Th 0.250 0.500 0.381 x2
3 Mn 0.250 0.000 0.674 x2
4 Mn 0.250 0.500 0.651 x2
5 Ni 0.000 0.000 0.500 x2
6 Ni 0.000 0.500 0.000 x2
7 Ni 0.250 0.258 0.847 x4

(3)
A relaxed Th2MnZn3Ni12 crystal, computed with PBE-GGA.

Density, g/cm3: 8.73
Energy, eV for the cell shown: -287.95

Lattice parameters (Å, degrees): 6.1347 6.1347 24.8638 90.00 90.00 120.00
Space group R-3m (No. 166, hexagonal axes)
One atom of each set of equivalent atoms:
1 Th 0.0000 0.0000 0.1520 x6
2 Mn 0.0000 0.0000 0.5000 x3
3 Zn 0.0000 0.5000 0.0000 x9
4 Ni 0.0399 0.5200 0.0992 x18
5 Ni 0.0749 0.5375 0.6159 x18

(4)
A relaxed Th2Mn2ZnNi5 crystal, computed with PBE-GGA.

Density, g/cm3: 9.91
Energy, eV for the cell shown: -129.36

Lattice parameters (Å, degrees): 9.026 9.026 3.837 90.00 90.00 90.00
Space group P4/mbm (No. 127)
One atom of each set of equivalent atoms:
1 Th 0.187 0.313 0.000 x4
2 Mn 0.112 0.612 0.000 x4
3 Zn 0.000 0.000 0.000 x2
4 Ni 0.000 0.500 0.500 x2
5 Ni 0.056 0.791 0.500 x8